[1]
DFT (PBE) results for a geometry-optimized CuNi2Mo structure.

Cell lengths 2.596, 2.596, 7.360 Å; angles 90.00, 90.00, 90.00 degrees
Element x y z (fractional)
Cu1 0.000 0.000 0.000
Ni1 0.000 0.000 0.536
Ni2 0.500 0.500 0.766
Mo1 0.500 0.500 0.278

Results
Energy of formation from the pure elements in kJ per mole of atoms: 8
Relative energy among the computed polymorphs in meV per atom: 87

[2]
DFT (PBE) results for a geometry-optimized Ce5MgTl6 structure.

Cell lengths 9.066, 9.066, 9.066 Å; angles 148.53, 119.12, 70.16 degrees
Element x y z (fractional)
Ce1 0.000 0.000 0.000
Ce2 0.158 0.658 0.500
Ce3 0.332 0.332 0.000
Ce4 0.668 0.668 0.000
Ce5 0.842 0.342 0.500
Mg1 0.500 0.000 0.500
Tl1 0.090 0.834 0.255
Tl2 0.263 0.500 0.763
Tl3 0.421 0.166 0.255
Tl4 0.579 0.834 0.745
Tl5 0.737 0.500 0.237
Tl6 0.910 0.166 0.745

Results
Energy of formation from the pure elements in kJ per mole of atoms: -20

Q: Which formula does entry 1 have?
A: CuNi2Mo

Q: Which of these has the highest energy of formation from the pure elements?
A: CuNi2Mo

Q: Among the records above, which one has the highest energy of formation from the pure elements?
A: CuNi2Mo